Compound: Ca6Zn5In
Source: the Alexandria database
Functional: PBE-GGA
Structure: relaxed

Geometry as POSCAR:
```
Ca6Zn5In
1.0
5.2041 0.0000 0.0000
0.0000 7.5627 0.0000
-2.5909 0.0000 7.8055
Ca Zn In
6 5 1
Direct
0.0000 0.2406 0.0000
0.0000 0.7594 0.0000
0.3304 0.2457 0.6610
0.3304 0.7543 0.6610
0.6696 0.2457 0.3390
0.6696 0.7543 0.3390
0.1613 0.5000 0.3212
0.1666 0.0000 0.3321
0.5000 0.0000 0.0000
0.8334 0.0000 0.6679
0.8387 0.5000 0.6788
0.5000 0.5000 0.0000
```

Values from the calculation:
Electronic total energy = -24.5 eV/cell
Crystal system = monoclinic
Spin magnetization = 0.0 μB per formula unit

***

Compound: Ca3ZnIn2
Source: the Alexandria database
Functional: PBE-GGA
Structure: relaxed

Geometry as POSCAR:
```
Ca3ZnIn2
1.0
5.3716 0.0000 0.0000
0.0000 16.1123 0.0000
0.0000 0.0000 3.8191
Ca Zn In
6 2 4
Direct
0.0000 0.0000 0.0000
0.0000 0.3413 0.0000
0.0000 0.6587 0.0000
0.5000 0.1587 0.0000
0.5000 0.5000 0.0000
0.5000 0.8413 0.0000
0.0000 0.5000 0.5000
0.5000 0.0000 0.5000
0.0000 0.1717 0.5000
0.0000 0.8283 0.5000
0.5000 0.3283 0.5000
0.5000 0.6717 0.5000
```

Values from the calculation:
Electronic total energy = -30.2 eV/cell
Crystal system = orthorhombic
Spin magnetization = 0.0 μB per formula unit

***

Compound: Ca3Zn8In
Source: the Alexandria database
Functional: PBE-GGA
Structure: relaxed

Geometry as POSCAR:
```
Ca3Zn8In
1.0
2.7733 1.6012 8.9381
-2.7733 1.6012 8.9381
0.0000 -3.2024 8.9381
Ca Zn In
3 8 1
Direct
0.0000 0.0000 0.0000
0.1268 0.1268 0.1268
0.5060 0.5060 0.5060
0.0638 0.0638 0.5653
0.0638 0.5653 0.0638
0.0676 0.5637 0.5637
0.3152 0.3152 0.3152
0.5637 0.0676 0.5637
0.5637 0.5637 0.0676
0.5653 0.0638 0.0638
0.8151 0.8151 0.8151
0.6303 0.6303 0.6303
```

Values from the calculation:
Electronic total energy = -21.5 eV/cell
Crystal system = trigonal
Spin magnetization = 0.0 μB per formula unit

***

Compound: CaZn9In2
Source: the Alexandria database
Functional: PBE-GGA
Structure: relaxed

Geometry as POSCAR:
```
CaZn9In2
1.0
2.7318 1.5772 8.4341
-2.7318 1.5772 8.4341
0.0000 -3.1544 8.4341
Ca Zn In
1 9 2
Direct
0.0000 0.0000 0.0000
0.0811 0.5846 0.5846
0.3325 0.3325 0.3325
0.4154 0.4154 0.9189
0.4154 0.9189 0.4154
0.5000 0.5000 0.5000
0.5846 0.0811 0.5846
0.5846 0.5846 0.0811
0.6675 0.6675 0.6675
0.9189 0.4154 0.4154
0.1392 0.1392 0.1392
0.8608 0.8608 0.8608
```

Values from the calculation:
Electronic total energy = -20.1 eV/cell
Crystal system = trigonal
Spin magnetization = 0.0 μB per formula unit

***

The highest electronic total energy belongs to which entry?
CaZn9In2

***

Look up the spin magnetization of the fourth one.
0.0 μB per formula unit

***

Which of these has the lowest electronic total energy?
Ca3ZnIn2